# TeRu4Pt | Alexandria | GGA-PBE | optimized geometry
data_TeRu4Pt
_space_group_name_H-M_alt 'P 1'
_space_group_IT_number 1
_space_group_name_Hall 'P 1'
_cell_length_a 5.1996
_cell_length_b 5.1996
_cell_length_c 5.1996
_cell_angle_alpha 60.00
_cell_angle_beta 60.00
_cell_angle_gamma 60.00
loop_
_atom_site_label
_atom_site_type_symbol
_atom_site_fract_x
_atom_site_fract_y
_atom_site_fract_z
_atom_site_occupancy
Te1 Te 0.7500 0.7500 0.7500 1
Ru1 Ru 0.8784 0.3739 0.3739 1
Ru2 Ru 0.3739 0.3739 0.8784 1
Ru3 Ru 0.3739 0.8784 0.3739 1
Ru4 Ru 0.3739 0.3739 0.3739 1
Pt1 Pt 0.0000 0.0000 0.0000 1
# Space group: F-43m, No. 216
# Formation energy without anion corrections, eV/atom: 0.6810
# DOS at the Fermi energy, states/eV per atom: 1.873